A plane-wave DFT calculation with PBE was carried out for Ba3ZrGe2O9 after structural relaxation.

Cell lengths 5.7376, 5.7376, 7.0425 Å; angles 90.00, 90.00, 120.00 degrees
Space group P-3m1 (No. 164)
Asymmetric unit:
1 Ba 0.0000 0.0000 0.0000
2 Ba 0.3333 0.6667 0.6782
3 Zr 0.0000 0.0000 0.5000
4 Ge 0.3333 0.6667 0.1664
5 O 0.0000 0.5000 0.0000
6 O 0.1738 0.3477 0.3242

Raw total energy: -7.021 eV/atom
Volume: 200.8 Å³/f.u.
M_tot: 0.00 μB/cell
Formation energy (no corrections): -2476 meV per atom